FeHgMo PBE relaxed; uncorrected energy = -6.0352 eV/atom
1.0
2.9437 0.0000 0.0000
-1.4719 2.5494 0.0000
0.0000 0.0000 6.6466
Fe Hg Mo
1 1 1
Cartesian
0.0000 0.0000 0.0000 Fe
0.0000 1.6996 2.3120 Hg
1.4719 0.8498 4.8542 Mo

=====

LaYMg2 PBE relaxed; uncorrected energy = -3.7608 eV/atom
1.0
0.0000 3.8824 3.8824
3.8824 0.0000 3.8824
3.8824 3.8824 0.0000
La Y Mg
1 1 2
Cartesian
0.0000 0.0000 0.0000 La
3.8824 3.8824 3.8824 Y
1.9412 1.9412 1.9412 Mg
5.8236 5.8236 5.8236 Mg

=====

Ce2PrIr PBE relaxed; uncorrected energy = -6.5014 eV/atom
1.0
1.9210 1.1091 10.0439
-1.9210 1.1091 10.0439
0.0000 -2.2181 10.0439
Ce Pr Ir
2 1 1
Cartesian
0.0000 0.0000 3.3377 Ce
0.0000 0.0000 26.7938 Ce
0.0000 0.0000 0.0000 Pr
0.0000 0.0000 15.0658 Ir

=====

Th2Te3As PBE relaxed; uncorrected formation energy = -963 meV/atom
1.0
8.4881 -2.2926 0.0000
8.4881 2.2926 0.0000
-5.1093 0.0000 11.2271
Th Te As
4 6 2
Cartesian
-0.8163 0.0000 2.1675 Th
2.6541 0.0000 3.8297 Th
9.2129 0.0000 7.3974 Th
12.6833 0.0000 9.0596 Th
-0.2443 0.0000 5.4176 Te
2.0407 0.0000 0.7280 Te
5.6282 0.0000 2.7589 Te
6.2389 0.0000 8.4682 Te
9.8263 0.0000 10.4990 Te
12.1113 0.0000 5.8095 Te
2.3229 0.0000 8.4878 As
9.5441 0.0000 2.7393 As

=====

SnMo2As2 PBE relaxed; uncorrected energy = -6.9173 eV/atom
1.0
7.4219 0.0000 0.0000
0.0000 7.4219 0.0000
0.0000 0.0000 3.1998
Sn Mo As
2 4 4
Cartesian
0.0000 0.0000 0.0000 Sn
3.7110 3.7110 0.0000 Sn
1.0930 2.6180 0.0000 Mo
2.6180 6.3290 0.0000 Mo
4.8039 1.0930 0.0000 Mo
6.3290 4.8039 0.0000 Mo
1.0404 4.7514 1.5999 As
2.6705 1.0404 1.5999 As
4.7514 6.3815 1.5999 As
6.3815 2.6705 1.5999 As

=====

NdHo4Mg PBE relaxed; uncorrected energy = -4.1198 eV/atom
1.0
3.5853 0.0000 0.0000
0.0000 3.5853 0.0000
0.0000 0.0000 14.2310
Nd Ho Mg
1 4 1
Cartesian
0.0000 0.0000 0.0000 Nd
0.0000 0.0000 4.9736 Ho
0.0000 0.0000 9.2574 Ho
1.7927 1.7927 2.5515 Ho
1.7927 1.7927 11.6795 Ho
1.7927 1.7927 7.1155 Mg

=====

TaZn2Rh PBE relaxed; uncorrected energy = -5.5041 eV/atom
1.0
2.6311 -4.1586 0.0000
2.6311 4.1586 0.0000
0.0000 0.0000 2.8000
Ta Zn Rh
1 2 1
Cartesian
0.0000 0.0000 0.0000 Ta
1.3156 2.0793 1.4000 Zn
1.3156 -2.0793 1.4000 Zn
2.6311 0.0000 0.0000 Rh

=====

SrCr2Se PBE relaxed; uncorrected formation energy = -194 meV/atom
1.0
2.1227 1.2255 5.8473
-2.1227 1.2255 5.8473
0.0000 -2.4511 5.8473
Sr Cr Se
1 2 1
Cartesian
0.0000 0.0000 0.0000 Sr
0.0000 0.0000 3.5308 Cr
0.0000 0.0000 9.2738 Cr
0.0000 0.0000 13.9484 Se

=====

Li2ZrHg PBE relaxed; uncorrected energy = -3.1735 eV/atom
1.0
2.8797 0.0000 0.0000
0.0000 4.4761 0.0000
0.0000 0.0000 6.2316
Li Zr Hg
2 1 1
Cartesian
0.0000 0.0000 0.0000 Li
1.4398 2.2381 1.3686 Li
0.0000 0.0000 3.2278 Zr
1.4398 2.2381 4.6724 Hg

=====

SmTlAgSn PBE relaxed; uncorrected energy = -3.7008 eV/atom
1.0
0.0000 3.6986 3.6986
3.6986 0.0000 3.6986
3.6986 3.6986 0.0000
Sm Tl Ag Sn
1 1 1 1
Cartesian
0.0000 0.0000 0.0000 Sm
5.5479 5.5479 5.5479 Tl
3.6986 3.6986 3.6986 Ag
1.8493 1.8493 1.8493 Sn

=====

ReHgRu PBE relaxed; uncorrected energy = -6.9953 eV/atom
1.0
-1.4365 1.4365 6.0435
1.4365 -1.4365 6.0435
1.4365 1.4365 -6.0435
Re Hg Ru
1 1 1
Cartesian
0.0000 0.0000 0.0000 Re
0.0000 0.0000 8.2917 Hg
0.0000 0.0000 4.4672 Ru

=====

TlTcW PBE relaxed; uncorrected energy = -7.8920 eV/atom
1.0
0.0000 2.4939 7.2099
1.5272 0.0000 7.2099
1.5272 2.4939 0.0000
Tl Tc W
1 1 1
Cartesian
0.0000 0.0000 0.0000 Tl
1.5272 2.4939 4.6630 Tc
1.5272 2.4939 9.8341 W

=====

Tb2SmHg5 PBE relaxed; uncorrected energy = -2.3745 eV/atom
1.0
-2.6215 2.6215 7.3610
2.6215 -2.6215 7.3610
2.6215 2.6215 -7.3610
Tb Sm Hg
2 1 5
Cartesian
0.0000 0.0000 3.4360 Tb
0.0000 0.0000 11.2861 Tb
0.0000 0.0000 7.3610 Sm
0.0000 0.0000 0.0000 Hg
2.6215 0.0000 1.8533 Hg
2.6215 0.0000 5.5077 Hg
0.0000 2.6215 1.8533 Hg
0.0000 2.6215 5.5077 Hg

=====

K2PtSe PBE relaxed; uncorrected formation energy = -155 meV/atom
1.0
-2.5763 2.5763 3.6612
2.5763 -2.5763 3.6612
2.5763 2.5763 -3.6612
K Pt Se
2 1 1
Cartesian
0.0000 0.0000 0.0000 K
0.0000 2.5763 1.8306 K
2.5763 0.0000 1.8306 Pt
0.0000 0.0000 3.6612 Se

=====

NiB2Cl8 PBE relaxed; uncorrected formation energy = -789 meV/atom
1.0
5.4997 -4.6230 0.0000
5.4997 4.6230 0.0000
-0.6483 0.0000 6.3621
Ni B Cl
1 2 8
Cartesian
0.0000 0.0000 0.0000 Ni
2.1917 0.0000 1.9676 B
8.1594 0.0000 4.3945 B
3.6806 3.1755 5.2378 Cl
1.9490 0.0000 3.7411 Cl
6.6705 3.1755 1.1243 Cl
3.8859 0.0000 1.4074 Cl
6.4652 0.0000 4.9547 Cl
3.6806 -3.1755 5.2378 Cl
8.4021 0.0000 2.6210 Cl
6.6705 -3.1755 1.1243 Cl

=====

Pr6AsOs2Br3 PBE relaxed; uncorrected formation energy = -924 meV/atom
1.0
3.6856 -6.3821 0.0000
3.6856 6.3821 0.0000
-2.4737 0.0000 7.6881
Pr As Os Br
6 1 2 3
Cartesian
-0.0719 2.2409 6.1506 Pr
1.0921 0.0000 1.5322 Pr
-0.0719 -2.2409 6.1506 Pr
4.9695 2.2409 1.5375 Pr
3.8054 0.0000 6.1559 Pr
4.9695 -2.2409 1.5375 Pr
3.6856 0.0000 0.0000 As
3.6856 4.2504 0.0000 Os
3.6856 -4.2504 0.0000 Os
-1.2369 0.0000 3.8440 Br
2.4488 2.0842 3.8440 Br
2.4488 -2.0842 3.8440 Br

=====

BiSN PBE relaxed; uncorrected formation energy = 422 meV/atom
1.0
3.8568 0.0000 0.0000
1.9196 3.4738 0.0000
0.0093 0.2005 4.5821
Bi S N
1 1 1
Cartesian
0.0000 0.0000 0.0000 Bi
3.8515 2.3430 1.8193 S
3.8582 2.5314 3.5137 N

=====

Sn3GeTe6 PBE relaxed; uncorrected formation energy = -122 meV/atom
1.0
13.1619 0.0000 0.0000
0.0000 4.2196 0.0000
-5.7676 0.0000 11.8355
Sn Ge Te
6 2 12
Cartesian
-0.1310 1.0549 1.9174 Sn
0.4472 3.1647 5.3772 Sn
-0.6824 1.0549 10.6368 Sn
8.0768 3.1647 1.1987 Sn
6.9472 1.0549 6.4583 Sn
7.5253 3.1647 9.9181 Sn
2.0307 3.1647 8.6363 Ge
5.3636 1.0549 3.1992 Ge
-1.4911 1.0549 4.6169 Te
-3.9353 1.0549 11.1965 Te
1.8350 3.1647 2.8182 Te
-0.7086 3.1647 8.4549 Te
5.0577 3.1647 1.2012 Te
2.5647 1.0549 6.5839 Te
4.8297 3.1647 5.2516 Te
2.3367 1.0549 10.6343 Te
8.1030 1.0549 3.3807 Te
5.5594 1.0549 9.0173 Te
11.3297 3.1647 0.6390 Te
8.8855 3.1647 7.2186 Te

=====

CaTa2Se PBE relaxed; uncorrected formation energy = 322 meV/atom
1.0
1.5907 0.9184 9.4805
-1.5907 0.9184 9.4805
0.0000 -1.8368 9.4805
Ca Ta Se
1 2 1
Cartesian
0.0000 0.0000 0.0000 Ca
0.0000 0.0000 6.7173 Ta
0.0000 0.0000 21.7242 Ta
0.0000 0.0000 14.2207 Se

=====

HoNi3B3 PBE relaxed; uncorrected energy = -6.1263 eV/atom
1.0
5.5143 0.0000 0.0000
0.0000 5.5143 0.0000
0.0000 0.0000 5.5143
Ho Ni B
2 6 6
Cartesian
0.0000 0.0000 0.0000 Ho
2.7571 2.7571 2.7571 Ho
0.0000 1.3786 2.7571 Ni
0.0000 4.1357 2.7571 Ni
1.3786 2.7571 0.0000 Ni
2.7571 0.0000 1.3786 Ni
2.7571 0.0000 4.1357 Ni
4.1357 2.7571 0.0000 Ni
0.0000 2.7571 1.3786 B
0.0000 2.7571 4.1357 B
1.3786 0.0000 2.7571 B
2.7571 1.3786 0.0000 B
2.7571 4.1357 0.0000 B
4.1357 0.0000 2.7571 B

=====

YInPbC2 PBE relaxed; uncorrected energy = -4.4618 eV/atom
1.0
4.4338 0.0000 0.0000
0.0000 4.4338 0.0000
0.0000 0.0000 5.6991
Y In Pb C
1 1 1 2
Cartesian
0.0000 0.0000 0.0000 Y
2.2169 2.2169 2.8495 In
2.2169 2.2169 0.0000 Pb
0.0000 2.2169 2.8495 C
2.2169 0.0000 2.8495 C

=====

In2CuAu PBE relaxed; uncorrected energy = -3.2076 eV/atom
1.0
3.3588 0.0000 0.0000
0.0000 3.3588 0.0000
0.0000 0.0000 7.3241
In Cu Au
2 1 1
Cartesian
0.0000 0.0000 0.0000 In
1.6794 1.6794 2.4916 In
1.6794 1.6794 5.6599 Cu
0.0000 0.0000 4.3527 Au

=====

AlZn2Tc PBE relaxed; uncorrected energy = -4.1270 eV/atom
1.0
0.0000 3.0614 3.0614
3.0614 0.0000 3.0614
3.0614 3.0614 0.0000
Al Zn Tc
1 2 1
Cartesian
0.0000 0.0000 0.0000 Al
3.0614 3.0614 3.0614 Zn
4.5921 4.5921 4.5921 Zn
1.5307 1.5307 1.5307 Tc

=====

Na2Ca4H PBE relaxed; uncorrected energy = -1.9595 eV/atom
1.0
-2.5388 2.5388 9.1657
2.5388 -2.5388 9.1657
2.5388 2.5388 -9.1657
Na Ca H
2 4 1
Cartesian
0.0000 0.0000 2.6507 Na
0.0000 0.0000 15.6807 Na
2.5388 0.0000 0.0000 Ca
0.0000 0.0000 6.2078 Ca
0.0000 2.5388 0.0000 Ca
0.0000 0.0000 12.1236 Ca
0.0000 0.0000 9.1657 H

=====

It is found that the magnetic moment values, taken in the order of the records, are 1.84, 0.00, 2.10, 0.00, 0.00, 0.00, 0.00, 0.00, 0.00, 0.00, 0.00, 0.00, 0.00, 0.00, 0.15, 0.00, 0.00, 0.00, 0.00, 0.00, 0.00, 0.00, 0.00, 0.00 μB per formula unit.